DFT (PBE) results for a relaxed structure of Li6CuPd3.

abc: 6.4885 6.5024 8.6591
angles: 90.00 127.05 90.00
Last column: nearest neighbours and their distance in Å.
Positions (direct):
1 Li 0.0068 0.1356 0.2081  4 Pd 2.58-2.77, 4 Li 2.62-2.86, 1 Cu 2.70
2 Li 0.0068 0.3644 0.7081  4 Pd 2.58-2.77, 4 Li 2.62-2.86, 1 Cu 2.70
3 Li 0.2755 0.7063 0.6975  2 Li 2.41-2.62, 1 Cu 2.47, 4 Pd 2.49-2.69
4 Li 0.2755 0.7937 0.1975  2 Li 2.41-2.62, 1 Cu 2.47, 4 Pd 2.49-2.69
5 Li 0.4044 0.1196 0.8488  3 Li 2.41-2.63, 4 Pd 2.55-2.69, 1 Cu 2.66
6 Li 0.4044 0.3804 0.3488  3 Li 2.41-2.63, 4 Pd 2.55-2.69, 1 Cu 2.66
7 Li 0.5956 0.6196 0.6512  3 Li 2.41-2.63, 4 Pd 2.55-2.69, 1 Cu 2.66
8 Li 0.5956 0.8804 0.1512  3 Li 2.41-2.63, 4 Pd 2.55-2.69, 1 Cu 2.66
9 Li 0.7245 0.2063 0.8025  2 Li 2.41-2.62, 1 Cu 2.47, 4 Pd 2.49-2.69
10 Li 0.7245 0.2937 0.3025  2 Li 2.41-2.62, 1 Cu 2.47, 4 Pd 2.49-2.69
11 Li 0.9932 0.6356 0.2919  4 Pd 2.58-2.77, 4 Li 2.62-2.86, 1 Cu 2.70
12 Li 0.9932 0.8644 0.7919  4 Pd 2.58-2.77, 4 Li 2.62-2.86, 1 Cu 2.70
13 Cu 0.0000 0.0000 0.5000  6 Li 2.47-2.70, 2 Pd 2.55
14 Cu 0.0000 0.5000 0.0000  6 Li 2.47-2.70, 2 Pd 2.55
15 Pd 0.2344 0.1640 0.0467  1 Cu 2.55, 9 Li 2.55-2.69
16 Pd 0.2344 0.3360 0.5467  1 Cu 2.55, 9 Li 2.55-2.69
17 Pd 0.5000 0.0000 0.5000  6 Li 2.49-2.77
18 Pd 0.5000 0.5000 0.0000  6 Li 2.49-2.77
19 Pd 0.7656 0.6640 0.4533  1 Cu 2.55, 9 Li 2.55-2.69
20 Pd 0.7656 0.8360 0.9533  1 Cu 2.55, 9 Li 2.55-2.69

Calculated values
**Symmetry**: P2_1/c (14)

DFT (PBE) results for a relaxed structure of LiCu4Pd.

abc: 3.6341 11.3115 3.6646
angles: 90.00 90.00 90.00
Last column: nearest neighbours and their distance in Å.
Positions (direct):
1 Li 0.0000 0.0000 0.0000  4 Pd 2.58, 8 Cu 2.65-2.67
2 Li 0.5000 0.5000 0.0000  4 Pd 2.58, 8 Cu 2.65-2.67
3 Cu 0.0000 0.1720 0.5000  8 Cu 2.53-2.58, 2 Pd 2.66, 2 Li 2.67
4 Cu 0.0000 0.3293 0.0000  8 Cu 2.55-2.58, 2 Li 2.65, 2 Pd 2.66
5 Cu 0.0000 0.6707 0.0000  8 Cu 2.55-2.58, 2 Li 2.65, 2 Pd 2.66
6 Cu 0.0000 0.8280 0.5000  8 Cu 2.53-2.58, 2 Pd 2.66, 2 Li 2.67
7 Cu 0.5000 0.1707 0.0000  8 Cu 2.55-2.58, 2 Li 2.65, 2 Pd 2.66
8 Cu 0.5000 0.3280 0.5000  8 Cu 2.53-2.58, 2 Pd 2.66, 2 Li 2.67
9 Cu 0.5000 0.6720 0.5000  8 Cu 2.53-2.58, 2 Pd 2.66, 2 Li 2.67
10 Cu 0.5000 0.8293 0.0000  8 Cu 2.55-2.58, 2 Li 2.65, 2 Pd 2.66
11 Pd 0.0000 0.5000 0.5000  4 Li 2.58, 8 Cu 2.66
12 Pd 0.5000 0.0000 0.5000  4 Li 2.58, 8 Cu 2.66

Calculated values
**Symmetry**: Cmmm (65)
**Excess energy over the best structure of this formula in the dataset**: 0 meV/atom

DFT (PBE) results for a relaxed structure of Li6CuPd.

abc: 4.9475 4.9479 4.9519
angles: 90.85 91.09 91.25
Last column: nearest neighbours and their distance in Å.
Positions (direct):
1 Li 0.0010 0.0011 0.2471  2 Li 2.45-2.50
2 Li 0.2474 0.5009 0.5013  2 Li 2.45-2.50
3 Li 0.4986 0.2528 0.9998  2 Li 2.45-2.50
4 Li 0.5014 0.7472 0.0002  2 Li 2.45-2.50
5 Li 0.7526 0.4991 0.4987  2 Li 2.45-2.50
6 Li 0.9990 0.9989 0.7529  2 Li 2.45-2.50
7 Cu 0.5000 0.0000 0.5000  12 Li 2.74-2.80
8 Pd 0.0000 0.5000 0.0000  12 Li 2.74-2.78

Calculated values
**Symmetry**: P-1 (2)
**Excess energy over the best structure of this formula in the dataset**: 9 meV/atom

DFT (PBE) results for a relaxed structure of Li4Cu2Pd.

abc: 5.4503 5.4503 7.1159
angles: 90.00 90.00 90.00
Last column: nearest neighbours and their distance in Å.
Positions (direct):
1 Li 0.2500 0.2500 0.2500  4 Cu 2.62, 2 Pd 2.62, 4 Li 2.73
2 Li 0.2500 0.2500 0.7500  4 Cu 2.62, 2 Pd 2.62, 4 Li 2.73
3 Li 0.2500 0.7500 0.2500  4 Cu 2.62, 2 Pd 2.62, 4 Li 2.73
4 Li 0.2500 0.7500 0.7500  4 Cu 2.62, 2 Pd 2.62, 4 Li 2.73
5 Li 0.7500 0.2500 0.2500  4 Cu 2.62, 2 Pd 2.62, 4 Li 2.73
6 Li 0.7500 0.2500 0.7500  4 Cu 2.62, 2 Pd 2.62, 4 Li 2.73
7 Li 0.7500 0.7500 0.2500  4 Cu 2.62, 2 Pd 2.62, 4 Li 2.73
8 Li 0.7500 0.7500 0.7500  4 Cu 2.62, 2 Pd 2.62, 4 Li 2.73
9 Cu 0.0000 0.5000 0.0000  8 Li 2.62, 2 Pd 2.73
10 Cu 0.0000 0.5000 0.5000  8 Li 2.62, 2 Pd 2.73
11 Cu 0.5000 0.0000 0.0000  8 Li 2.62, 2 Pd 2.73
12 Cu 0.5000 0.0000 0.5000  8 Li 2.62, 2 Pd 2.73
13 Pd 0.0000 0.0000 0.0000  8 Li 2.62, 4 Cu 2.73
14 Pd 0.5000 0.5000 0.5000  8 Li 2.62, 4 Cu 2.73

Calculated values
**Symmetry**: I4/mmm (139)

How do the records compare in E_form? In the order shown, they have -2.20; -0.87; -1.04; -0.75 eV per formula unit.
How do the records compare in E_tot? In the order shown, they have -3.34; -4.06; -2.73; -3.11 eV per atom.